(1)
BeWSeN2 | GGA-PBE | relaxed

Summary:
**Formation energy (no corrections)**: 0.55 eV/atom
**M_tot**: 0.0 μB/cell

a = 3.8447 Å, b = 3.8447 Å, c = 5.3791 Å
α = 90.00°, β = 90.00°, γ = 90.00°
Last column: nearest neighbours and their distance in Å.
Space group P4/mmm (No. 123)
Symmetry-distinct sites (fractional):
1 Be 0.0000 0.0000 0.0000 [1 per cell]  4 Se 2.72
2 W 0.5000 0.5000 0.5000 [1 per cell]  4 N 1.92
3 Se 0.5000 0.5000 0.0000 [1 per cell]  2 W 2.69, 4 Be 2.72
4 N 0.0000 0.5000 0.5000 [2 per cell]  2 W 1.92

(2)
BeWSeN2 | GGA-PBE | relaxed

Summary:
**Formation energy (no corrections)**: 1.41 eV/atom
**M_tot**: 0.2 μB/cell

a = 3.6026 Å, b = 3.6026 Å, c = 4.5080 Å
α = 90.00°, β = 90.00°, γ = 90.00°
Last column: nearest neighbours and their distance in Å.
Space group P4/mmm (No. 123)
Symmetry-distinct sites (fractional):
1 Be 0.0000 0.0000 0.0000 [1 per cell]  4 N 1.80
2 W 0.5000 0.5000 0.5000 [1 per cell]  4 Se 2.55
3 Se 0.0000 0.0000 0.5000 [1 per cell]  2 Be 2.25
4 N 0.0000 0.5000 0.0000 [2 per cell]  2 Be 1.80

(3)
YBeSeN2 | GGA-PBE | relaxed

Summary:
**Formation energy (no corrections)**: 1.12 eV/atom
**M_tot**: 3.3 μB/cell

a = 4.3361 Å, b = 4.3361 Å, c = 5.8632 Å
α = 90.00°, β = 90.00°, γ = 90.00°
Last column: nearest neighbours and their distance in Å.
Space group P4/mmm (No. 123)
Symmetry-distinct sites (fractional):
1 Y 0.0000 0.0000 0.0000 [1 per cell]  4 N 2.17
2 Be 0.5000 0.5000 0.5000 [1 per cell]  4 Se 3.07
3 Se 0.0000 0.0000 0.5000 [1 per cell]  2 Y 2.93, 4 Be 3.07
4 N 0.0000 0.5000 0.0000 [2 per cell]  2 Y 2.17

(4)
YBeSeN2 | GGA-PBE | relaxed

Summary:
**Formation energy (no corrections)**: 0.22 eV/atom
**M_tot**: 1.1 μB/cell

a = 3.8304 Å, b = 3.8304 Å, c = 4.6452 Å
α = 90.00°, β = 90.00°, γ = 90.00°
Last column: nearest neighbours and their distance in Å.
Space group P4/mmm (No. 123)
Symmetry-distinct sites (fractional):
1 Y 0.0000 0.0000 0.0000 [1 per cell]  4 Se 2.71, 8 N 3.01
2 Be 0.5000 0.5000 0.5000 [1 per cell]  4 N 1.92
3 Se 0.5000 0.5000 0.0000 [1 per cell]  2 Be 2.32
4 N 0.0000 0.5000 0.5000 [2 per cell]  2 Be 1.92

(5)
YBeSe2N | GGA-PBE | relaxed

Summary:
**Formation energy (no corrections)**: -0.38 eV/atom
**M_tot**: 1.0 μB/cell

a = 4.9619 Å, b = 4.9619 Å, c = 3.4323 Å
α = 90.00°, β = 90.00°, γ = 90.00°
Last column: nearest neighbours and their distance in Å.
Space group P4/mmm (No. 123)
Symmetry-distinct sites (fractional):
1 Y 0.0000 0.0000 0.0000 [1 per cell]  8 Se 3.02
2 Be 0.5000 0.5000 0.5000 [1 per cell]  2 N 1.72
3 Se 0.0000 0.5000 0.5000 [2 per cell]  2 Be 2.48
4 N 0.5000 0.5000 0.0000 [1 per cell]  2 Be 1.72

(6)
YBeSe2N | GGA-PBE | relaxed

Summary:
**Formation energy (no corrections)**: 0.64 eV/atom
**M_tot**: 2.0 μB/cell

a = 5.5039 Å, b = 5.5039 Å, c = 4.3902 Å
α = 90.00°, β = 90.00°, γ = 90.00°
Last column: nearest neighbours and their distance in Å.
Space group P4/mmm (No. 123)
Symmetry-distinct sites (fractional):
1 Y 0.0000 0.0000 0.0000 [1 per cell]  2 N 2.20
2 Be 0.5000 0.5000 0.5000 [1 per cell]  8 Se 3.52, 4 N 3.89
3 Se 0.0000 0.5000 0.0000 [2 per cell]  2 Y 2.75
4 N 0.0000 0.0000 0.5000 [1 per cell]  2 Y 2.20